DFT (PBE) results for a relaxed structure of LiAcEuTl.

Computed properties:
Space-group type: No. 216
Energy of formation from the pure elements in eV/f.u.: -0.79

Unit cell a=5.7061 b=5.7061 c=5.7061 alpha=60.00 beta=60.00 gamma=60.00
Closest atoms and distances in Å follow each position.
Fractional coordinates of all 4 atoms:
Eu (0.7500, 0.7500, 0.7500)  4 Tl 3.49, 4 Li 3.49
Ac (0.2500, 0.2500, 0.2500)  4 Li 3.49, 4 Tl 3.49
Tl (0.5000, 0.5000, 0.5000)  4 Ac 3.49, 4 Eu 3.49
Li (0.0000, 0.0000, 0.0000)  4 Eu 3.49, 4 Ac 3.49